A geometry-optimized CrAgRh structure, computed with PBE.

Computed properties:
distance to the lowest polymorph of the same formula = 0.40 eV/f.u.
space group = P-6m2, No. 187
calculated density = 9.316 g cm⁻³
formation enthalpy at 0 K = 0.3457 eV per atom
DOS at the Fermi energy = 3.58 states/eV/cell

Cell: 4.350 4.350 2.858 Å, 90.00 90.00 120.00°
Positions (direct):
Cr: 0.000 0.000 0.000
Ag: 0.667 0.333 0.500
Rh: 0.333 0.667 0.000

A geometry-optimized Zn2ReSe structure, computed with PBE.

Computed properties:
distance to the lowest polymorph of the same formula = 0.67 eV/f.u.
ΔE_f (raw) = 0.3600 eV/atom
space group = Cmmm, No. 65
calculated density = 9.742 g cm⁻³
DOS at the Fermi energy = 1.76 states/eV/cell

Cell: 2.699 2.699 9.759 Å, 90.00 90.00 108.25°
Positions (direct):
Zn: 0.000 0.000 0.218
Zn: 0.000 0.000 0.782
Re: 0.500 0.500 0.000
Se: 0.500 0.500 0.500

A geometry-optimized Eu2ZnBi structure, computed with PBE.

Computed properties:
distance to the lowest polymorph of the same formula = 0.00 eV/f.u.
space group = P4/mmm, No. 123
calculated density = 7.966 g cm⁻³
formation enthalpy at 0 K = -0.5662 eV per atom
DOS at the Fermi energy = 12.29 states/eV/cell

Cell: 5.294 5.294 4.302 Å, 90.00 90.00 90.00°
Positions (direct):
Eu: 0.000 0.500 0.000
Eu: 0.500 0.000 0.000
Zn: 0.000 0.000 0.500
Bi: 0.500 0.500 0.500

A geometry-optimized Ce2DyOs structure, computed with PBE.

Computed properties:
distance to the lowest polymorph of the same formula = 0.02 eV/f.u.
space group = Cmcm, No. 63
calculated density = 10.191 g cm⁻³
formation enthalpy at 0 K = -0.1463 eV per atom
DOS at the Fermi energy = 15.13 states/eV/cell

Cell: 5.982 5.982 9.551 Å, 90.00 90.00 142.88°
Positions (direct):
Ce: 0.140 0.860 0.560
Ce: 0.140 0.860 0.940
Ce: 0.860 0.140 0.060
Ce: 0.860 0.140 0.440
Dy: 0.424 0.576 0.750
Dy: 0.576 0.424 0.250
Os: 0.288 0.712 0.250
Os: 0.712 0.288 0.750

A geometry-optimized Na2UO3 structure, computed with PBE.

Computed properties:
ΔE_f (raw) = -2.1896 eV/atom
space group = Cm, No. 8
calculated density = 4.477 g cm⁻³
DOS at the Fermi energy = 5.41 states/eV/cell

Cell: 6.541 6.541 5.654 Å, 111.86 111.86 33.54°
Positions (direct):
Na: 0.000 0.000 0.000
Na: 0.672 0.672 0.836
U: 0.326 0.326 0.451
O: 0.203 0.203 0.105
O: 0.475 0.475 0.746
O: 0.776 0.776 0.574

A geometry-optimized Zr2CrPt structure, computed with PBE.

Computed properties:
distance to the lowest polymorph of the same formula = 0.00 eV/f.u.
space group = P4/mmm, No. 123
calculated density = 9.942 g cm⁻³
formation enthalpy at 0 K = -0.3982 eV per atom
DOS at the Fermi energy = 3.77 states/eV/cell

Cell: 4.584 4.584 3.414 Å, 90.00 90.00 90.00°
Positions (direct):
Zr: 0.000 0.500 0.000
Zr: 0.500 0.000 0.000
Cr: 0.000 0.000 0.500
Pt: 0.500 0.500 0.500

A geometry-optimized Ti2CrSb2 structure, computed with PBE.

Computed properties:
ΔE_f (raw) = -0.0208 eV/atom
space group = P4/mbm, No. 127
calculated density = 6.976 g cm⁻³
DOS at the Fermi energy = 11.29 states/eV/cell

Cell: 6.915 6.915 3.895 Å, 90.00 90.00 90.00°
Positions (direct):
Ti: 0.150 0.350 0.000
Ti: 0.350 0.850 0.000
Ti: 0.650 0.150 0.000
Ti: 0.850 0.650 0.000
Cr: 0.000 0.000 0.500
Cr: 0.500 0.500 0.500
Sb: 0.154 0.654 0.500
Sb: 0.346 0.154 0.500
Sb: 0.654 0.846 0.500
Sb: 0.846 0.346 0.500

A geometry-optimized PmPrSnPb structure, computed with PBE.

Computed properties:
distance to the lowest polymorph of the same formula = 0.65 eV/f.u.
space group = F-43m, No. 216
calculated density = 8.395 g cm⁻³
formation enthalpy at 0 K = -0.5067 eV per atom
DOS at the Fermi energy = 5.88 states/eV/cell

Cell: 5.552 5.552 5.552 Å, 60.00 60.00 60.00°
Positions (direct):
Pm: 0.000 0.000 0.000
Pr: 0.500 0.500 0.500
Sn: 0.250 0.250 0.250
Pb: 0.750 0.750 0.750